Record 1
Here is crystalline VGeAs2 at its relaxed geometry from the Alexandria database. Energies are from PBE.

Cell lengths 5.870, 5.870, 6.933 Å; angles 64.96, 64.96, 90.00 degrees
Each line ends with the local moment (μB).
Positions (direct):
1 As 0.375 0.375 0.750  -0.03
2 As 0.625 0.125 0.250  -0.03
3 As 0.875 0.875 0.750  -0.03
4 As 0.125 0.625 0.250  -0.03
5 V 0.250 0.750 0.500  2.26
6 V 0.500 0.500 0.000  2.26
7 Ge 0.750 0.250 0.500  0.09
8 Ge 0.000 0.000 0.000  0.09

---

Record 2
Here is crystalline Li4CoRe at its relaxed geometry from the Alexandria database. Energies are from PBE.

Cell lengths 4.663, 4.663, 4.663 Å; angles 60.00, 60.00, 60.00 degrees
Each line ends with the local moment (μB).
Positions (direct):
1 Li 0.876 0.375 0.375  -0.01
2 Li 0.375 0.375 0.375  -0.01
3 Li 0.375 0.375 0.876  -0.01
4 Li 0.375 0.876 0.375  -0.01
5 Re 0.750 0.750 0.750  0.81
6 Co 0.000 0.000 0.000  1.37

---

Mass density values (in g/cm3) by entry order: 4.75 6.32.
ΔE_f values (in eV per atom) by entry order: 0.10 0.58.